Entry from Alexandria via LeMat-Bulk: a relaxed structure of Ce2Dy2O7 (PBEsol).

Calculated values
E_form (uncorrected) = -3.46 eV per atom

a b c (Å): 3.7977 3.7977 10.7175
angles (deg): 90.00 90.00 90.00
With the nearest neighbours (Å) after each atom.
Fractional coordinates of all 11 atoms:
Ce (0.0000, 0.5000, 0.1264)  8 O 2.27-2.42
Ce (0.5000, 0.0000, 0.8736)  8 O 2.27-2.42
Dy (0.0000, 0.5000, 0.6390)  4 O 2.15-2.29
Dy (0.5000, 0.0000, 0.3610)  4 O 2.15-2.29
O (0.0000, 0.0000, 0.0000)  4 Ce 2.33
O (0.0000, 0.0000, 0.2668)  2 Dy 2.15
O (0.0000, 0.0000, 0.7332)  2 Dy 2.15
O (0.5000, 0.5000, 0.0000)  4 Ce 2.33, 2 O 2.60
O (0.5000, 0.5000, 0.2423)  2 Ce 2.27, 2 Dy 2.29
O (0.5000, 0.5000, 0.5000)  4 Dy 2.41
O (0.5000, 0.5000, 0.7577)  2 Ce 2.27, 2 Dy 2.29

---

Entry from Alexandria via LeMat-Bulk: a relaxed structure of AlTlTe (PBEsol).

Calculated values
E_form (uncorrected) = 0.23 eV per atom

a b c (Å): 5.1958 5.1958 5.1958
angles (deg): 60.00 60.00 60.00
With the nearest neighbours (Å) after each atom.
Fractional coordinates of all 3 atoms:
Al (0.0000, 0.0000, 0.0000)  4 Te 3.18
Tl (0.5000, 0.5000, 0.5000)  4 Te 3.18
Te (0.7500, 0.7500, 0.7500)  4 Tl 3.18, 4 Al 3.18

---

| no. | relative energy among the computed polymorphs (meV/atom) |
| --- | --- |
| 1 | 23.0 |
| 2 | 318.6 |